Sr2Co2O5 | PBE+U | optimized geometry

```
18
Lattice="-8.100 2.774 2.714 8.100 -2.774 2.714 8.100 2.774 -2.714" Properties=species:S:1:pos:R:3 pbc="T T T"
Sr 1.776 0.057 0.000
Sr 6.324 0.057 0.000
Sr 1.776 2.717 2.714
Sr 6.324 2.717 2.714
Co 4.050 -0.357 2.910
Co 0.000 0.000 2.703
Co 8.100 0.000 2.703
Co 4.050 3.131 0.196
O 12.150 0.669 -0.604
O 2.336 2.600 -0.060
O 5.764 2.600 -0.060
O -0.073 1.395 1.354
O 8.173 1.395 1.354
O 2.336 0.174 2.654
O 5.764 0.174 2.654
O -4.050 2.104 2.111
O 0.073 4.152 1.354
O -0.073 1.379 4.068
```

Offset from the most stable computed form ... 1 meV per atom
Total DFT energy (no corrections) ... -6.085 eV/atom
SG ... Ima2, No. 46
DOS(E_F) ... 0.38 states/eV per atom